No. 1
BaTiTeN2: optimized geometry, GGA-PBE.

Lattice parameters (Å, degrees): 4.3867 4.3867 5.4574 90.00 90.00 90.00
Each line ends with the local moment (μB).
Element x y z (fractional)
N 0.0000 0.5000 0.0000  0.64
N 0.5000 0.0000 0.0000  0.64
Ti 0.0000 0.0000 0.0000  -0.28
Ba 0.5000 0.5000 0.5000  0.01
Te 0.0000 0.0000 0.5000  0.12

Summary:
- E_form (uncorrected) (meV/atom) = -87
- DOS(E_F) (states/eV per cell) = 3.6
- polymorph energy (0 for the lowest one) (meV per atom) = 0
- magnetization (μB per formula unit) = 1.74

No. 2
BaTlTe2N: optimized geometry, GGA-PBE.

Lattice parameters (Å, degrees): 6.8439 6.8439 4.3906 90.00 90.00 90.00
Each line ends with the local moment (μB).
Element x y z (fractional)
Ba 0.0000 0.0000 0.0000  -0.02
Tl 0.5000 0.5000 0.5000  0.00
Te 0.5000 0.0000 0.0000  0.07
Te 0.0000 0.5000 0.0000  0.07
N 0.0000 0.0000 0.5000  0.39

Summary:
- E_form (uncorrected) (meV/atom) = 645
- DOS(E_F) (states/eV per cell) = 7.4
- polymorph energy (0 for the lowest one) (meV per atom) = 495
- magnetization (μB per formula unit) = 0.83

No. 3
BaTlTe2N: optimized geometry, GGA-PBE.

Lattice parameters (Å, degrees): 6.0079 6.0079 4.5990 90.00 90.00 90.00
Each line ends with the local moment (μB).
Element x y z (fractional)
Tl 0.0000 0.0000 0.0000  0.00
Te 0.5000 0.0000 0.0000  0.14
Te 0.0000 0.5000 0.0000  0.14
N 0.0000 0.0000 0.5000  1.11
Ba 0.5000 0.5000 0.5000  0.00

Summary:
- E_form (uncorrected) (meV/atom) = 150
- DOS(E_F) (states/eV per cell) = 2.8
- polymorph energy (0 for the lowest one) (meV per atom) = 0
- magnetization (μB per formula unit) = 2.13

No. 4
BaVTeN2: optimized geometry, GGA-PBE.

Lattice parameters (Å, degrees): 4.2759 4.2759 5.2922 90.00 90.00 90.00
Element x y z (fractional)
V 0.0000 0.0000 0.0000
Ba 0.5000 0.5000 0.5000
N 0.0000 0.5000 0.0000
N 0.5000 0.0000 0.0000
Te 0.0000 0.0000 0.5000

Summary:
- E_form (uncorrected) (meV/atom) = 185
- DOS(E_F) (states/eV per cell) = 4.5
- polymorph energy (0 for the lowest one) (meV per atom) = 0
- magnetization (μB per formula unit) = 0.00

No. 5
BaVTeN2: optimized geometry, GGA-PBE.

Lattice parameters (Å, degrees): 4.3848 4.3848 7.0489 90.00 90.00 90.00
Each line ends with the local moment (μB).
Element x y z (fractional)
Ba 0.0000 0.0000 0.0000  -0.04
N 0.0000 0.5000 0.0000  0.22
N 0.5000 0.0000 0.0000  0.22
V 0.5000 0.5000 0.5000  2.75
Te 0.0000 0.0000 0.5000  -0.18

Summary:
- E_form (uncorrected) (meV/atom) = 1775
- DOS(E_F) (states/eV per cell) = 8.0
- polymorph energy (0 for the lowest one) (meV per atom) = 1590
- magnetization (μB per formula unit) = 3.49

No. 6
BaVTe2N: optimized geometry, GGA-PBE.

Lattice parameters (Å, degrees): 5.8107 5.8107 3.7629 90.00 90.00 90.00
Each line ends with the local moment (μB).
Element x y z (fractional)
V 0.0000 0.0000 0.0000  0.98
N 0.0000 0.0000 0.5000  -0.17
Te 0.0000 0.5000 0.0000  -0.04
Te 0.5000 0.0000 0.0000  -0.04
Ba 0.5000 0.5000 0.5000  0.01

Summary:
- E_form (uncorrected) (meV/atom) = -553
- DOS(E_F) (states/eV per cell) = 5.4
- polymorph energy (0 for the lowest one) (meV per atom) = 0
- magnetization (μB per formula unit) = 0.79

No. 7
BaVTe2N: optimized geometry, GGA-PBE.

Lattice parameters (Å, degrees): 6.4416 6.4416 4.3545 90.00 90.00 90.00
Each line ends with the local moment (μB).
Element x y z (fractional)
N 0.0000 0.0000 0.5000  0.39
Te 0.0000 0.5000 0.0000  -0.22
Te 0.5000 0.0000 0.0000  -0.22
Ba 0.0000 0.0000 0.0000  -0.03
V 0.5000 0.5000 0.5000  3.02

Summary:
- E_form (uncorrected) (meV/atom) = 1305
- DOS(E_F) (states/eV per cell) = 8.9
- polymorph energy (0 for the lowest one) (meV per atom) = 1858
- magnetization (μB per formula unit) = 3.38

No. 8
BaTe2WN: optimized geometry, GGA-PBE.

Lattice parameters (Å, degrees): 6.3880 4.4900 6.3880 90.00 90.00 90.00
Each line ends with the local moment (μB).
Element x y z (fractional)
Te 0.0000 0.0000 0.5000  0.45
Te 0.5000 0.0000 0.0000  0.39
Ba 0.0000 0.0000 0.0000  -0.01
W 0.5000 0.5000 0.5000  -3.30
N 0.0000 0.5000 0.0000  0.61

Summary:
- E_form (uncorrected) (meV/atom) = 1962
- DOS(E_F) (states/eV per cell) = 4.8
- polymorph energy (0 for the lowest one) (meV per atom) = 2351
- magnetization (μB per formula unit) = 2.13

No. 9
BaTe2WN: optimized geometry, GGA-PBE.

Lattice parameters (Å, degrees): 5.6941 5.6941 3.9394 90.00 90.00 90.00
Each line ends with the local moment (μB).
Element x y z (fractional)
W 0.0000 0.0000 0.0000  0.15
Ba 0.5000 0.5000 0.5000  0.01
Te 0.0000 0.5000 0.0000  0.00
Te 0.5000 0.0000 0.0000  0.00
N 0.0000 0.0000 0.5000  -0.01

Summary:
- E_form (uncorrected) (meV/atom) = -389
- DOS(E_F) (states/eV per cell) = 2.3
- polymorph energy (0 for the lowest one) (meV per atom) = 0
- magnetization (μB per formula unit) = 0.18

No. 10
BaZnTe2N: optimized geometry, GGA-PBE.

Lattice parameters (Å, degrees): 6.1000 6.1000 3.7875 90.00 90.00 90.00
Each line ends with the local moment (μB).
Element x y z (fractional)
N 0.0000 0.0000 0.5000  0.99
Te 0.5000 0.0000 0.0000  0.21
Te 0.0000 0.5000 0.0000  0.21
Ba 0.5000 0.5000 0.5000  0.00
Zn 0.0000 0.0000 0.0000  0.05

Summary:
- E_form (uncorrected) (meV/atom) = -24
- DOS(E_F) (states/eV per cell) = 3.5
- polymorph energy (0 for the lowest one) (meV per atom) = 0
- magnetization (μB per formula unit) = 2.19

No. 11
BaZnTe2N: optimized geometry, GGA-PBE.

Lattice parameters (Å, degrees): 6.8708 6.8708 5.3113 90.00 90.00 90.00
Each line ends with the local moment (μB).
Element x y z (fractional)
Zn 0.5000 0.5000 0.5000  0.15
Ba 0.0000 0.0000 0.0000  0.02
Te 0.5000 0.0000 0.0000  0.63
Te 0.0000 0.5000 0.0000  0.63
N 0.0000 0.0000 0.5000  1.43

Summary:
- E_form (uncorrected) (meV/atom) = 930
- DOS(E_F) (states/eV per cell) = 4.9
- polymorph energy (0 for the lowest one) (meV per atom) = 954
- magnetization (μB per formula unit) = 5.04

No. 12
Ba2ZnTeN: optimized geometry, GGA-PBE.

Lattice parameters (Å, degrees): 5.8351 5.8351 4.2044 90.00 90.00 90.00
Element x y z (fractional)
Zn 0.0000 0.0000 0.5000
Ba 0.5000 0.0000 0.0000
Ba 0.0000 0.5000 0.0000
Te 0.5000 0.5000 0.5000
N 0.0000 0.0000 0.0000

Summary:
- E_form (uncorrected) (meV/atom) = -759
- DOS(E_F) (states/eV per cell) = 0.4
- magnetization (μB per formula unit) = 0.00

magnetization of number 6 (BaVTe2N)?
0.79 μB per formula unit